(1)
Material: ReNClF2
Method: DFT, PBE
State: relaxed

Unit cell a=4.0873 b=4.0873 c=3.8551 alpha=90.00 beta=90.00 gamma=90.00
Last column: magnetic moment on the atom in μB.
Atoms (fractional coordinates):
Re 0.0000 0.0000 0.0000  0.52
N 0.0000 0.0000 0.5000  -0.07
F 0.0000 0.5000 0.0000  0.03
F 0.5000 0.0000 0.0000  0.03
Cl 0.5000 0.5000 0.5000  -0.04

## Properties
total DFT energy (no corrections) = -5.706 eV/atom
formation energy without anion corrections = -0.433 eV per atom
N(E_F) = 3.09 states/eV/cell
relative energy among the computed polymorphs = 0.0 meV/atom
space group = No. 123

=====

(2)
Material: PmGeCl
Method: DFT, PBE
State: relaxed

Unit cell a=4.0234 b=5.2177 c=8.0663 alpha=108.96 beta=104.44 gamma=90.00
Atoms (fractional coordinates):
Pm 0.1323 0.6316 0.2645
Pm 0.8677 0.3684 0.7355
Ge 0.4994 0.2497 0.9988
Ge 0.5006 0.7503 0.0012
Cl 0.7794 0.7795 0.5588
Cl 0.2206 0.2205 0.4412

## Properties
total DFT energy (no corrections) = -4.948 eV/atom
formation energy without anion corrections = -1.210 eV per atom
N(E_F) = 4.25 states/eV/cell
relative energy among the computed polymorphs = 122.9 meV/atom
space group = No. 12

=====

(3)
Material: ScGa2HgBi
Method: DFT, PBE
State: relaxed

Unit cell a=5.4213 b=5.6829 c=5.4213 alpha=90.00 beta=90.00 gamma=90.00
Atoms (fractional coordinates):
Sc 0.5000 0.5000 0.5000
Bi 0.0000 0.0000 0.0000
Ga 0.0000 0.0000 0.5000
Ga 0.5000 0.0000 0.0000
Hg 0.0000 0.5000 0.0000

## Properties
total DFT energy (no corrections) = -2.581 eV/atom
N(E_F) = 4.66 states/eV/cell
space group = No. 123

=====

(4)
Material: HfBeBi
Method: DFT, PBE
State: relaxed

Unit cell a=3.4742 b=3.8049 c=10.0621 alpha=100.90 beta=90.00 gamma=90.00
Atoms (fractional coordinates):
Hf 0.7500 0.9349 0.8697
Hf 0.2500 0.0651 0.1303
Be 0.7500 0.5296 0.0591
Be 0.2500 0.4704 0.9409
Bi 0.7500 0.6635 0.3270
Bi 0.2500 0.3365 0.6730

## Properties
total DFT energy (no corrections) = -6.106 eV/atom
N(E_F) = 1.47 states/eV/cell
relative energy among the computed polymorphs = 0.0 meV/atom
space group = No. 63

=====

(5)
Material: Cs2InAg2
Method: DFT, PBE
State: relaxed

Unit cell a=4.9671 b=4.9671 c=11.7993 alpha=77.85 beta=77.85 gamma=60.00
Atoms (fractional coordinates):
Cs 0.4254 0.4254 0.7239
Cs 0.5746 0.5746 0.2761
In 0.0000 0.0000 0.0000
Ag 0.6766 0.6766 0.9703
Ag 0.3234 0.3234 0.0297

## Properties
total DFT energy (no corrections) = -2.080 eV/atom
N(E_F) = 3.02 states/eV/cell
relative energy among the computed polymorphs = 0.0 meV/atom
space group = No. 166

=====

(6)
Material: LaNi2Te
Method: DFT, PBE
State: relaxed

Unit cell a=3.4760 b=3.4752 c=6.6472 alpha=90.00 beta=90.00 gamma=90.00
Atoms (fractional coordinates):
La 0.5000 0.5000 0.7982
Ni 0.0000 0.0000 0.0448
Ni 0.5000 0.5000 0.2402
Te 0.0000 0.0000 0.4167

## Properties
total DFT energy (no corrections) = -5.120 eV/atom
formation energy without anion corrections = -0.212 eV per atom
N(E_F) = 2.34 states/eV/cell
space group = No. 99

=====

(7)
Material: AcGaIr
Method: DFT, PBE
State: relaxed

Unit cell a=3.4661 b=3.4661 c=6.1178 alpha=106.46 beta=106.46 gamma=90.00
Atoms (fractional coordinates):
Ac 0.0083 0.0083 0.0165
Ir 0.6988 0.6988 0.3976
Ga 0.2929 0.2929 0.5859

## Properties
total DFT energy (no corrections) = -5.690 eV/atom
N(E_F) = 2.22 states/eV/cell
relative energy among the computed polymorphs = 342.2 meV/atom
space group = No. 107

=====

(8)
Material: Li2Zn6Ru
Method: DFT, PBE
State: relaxed

Unit cell a=4.2858 b=4.2892 c=8.0276 alpha=90.10 beta=90.00 gamma=119.97
Atoms (fractional coordinates):
Li 0.6670 0.3340 0.7106
Li 0.3330 0.6660 0.2894
Zn 0.3334 0.6667 0.9465
Zn 0.6666 0.3333 0.0535
Zn 0.9997 0.9995 0.1755
Zn 0.6665 0.3330 0.3920
Zn 0.0003 0.0005 0.8245
Zn 0.3335 0.6670 0.6080
Ru 0.0000 0.0000 0.5000

## Properties
total DFT energy (no corrections) = -2.435 eV/atom
N(E_F) = 4.27 states/eV/cell
relative energy among the computed polymorphs = 0.0 meV/atom
space group = No. 12

=====

(9)
Material: BaIn2GaHg8
Method: DFT, PBE
State: relaxed

Unit cell a=5.8183 b=5.8183 c=11.0999 alpha=89.01 beta=89.01 gamma=67.25
Atoms (fractional coordinates):
Ba 0.0000 0.0000 0.5000
In 0.7060 0.7060 0.3014
In 0.2940 0.2940 0.6986
Ga 0.0000 0.0000 0.0000
Hg 0.7822 0.2859 0.7949
Hg 0.6966 0.6966 0.9980
Hg 0.6508 0.6508 0.5737
Hg 0.3492 0.3492 0.4263
Hg 0.3034 0.3034 0.0020
Hg 0.2859 0.7822 0.7949
Hg 0.7141 0.2178 0.2051
Hg 0.2178 0.7141 0.2051

## Properties
total DFT energy (no corrections) = -1.162 eV/atom
N(E_F) = 4.59 states/eV/cell
space group = No. 12

=====

(10)
Material: Hg3OsSe
Method: DFT, PBE
State: relaxed

Unit cell a=5.3661 b=5.3661 c=5.3661 alpha=90.00 beta=90.00 gamma=90.00
Last column: magnetic moment on the atom in μB.
Atoms (fractional coordinates):
Os 0.5000 0.5000 0.5000  2.83
Hg 0.0000 0.5000 0.0000  -0.01
Hg 0.0000 0.0000 0.5000  0.03
Hg 0.5000 0.0000 0.0000  -0.03
Se 0.0000 0.0000 0.0000  -0.03

## Properties
total DFT energy (no corrections) = -1.576 eV/atom
formation energy without anion corrections = 1.548 eV per atom
N(E_F) = 7.73 states/eV/cell
relative energy among the computed polymorphs = 583.5 meV/atom
space group = No. 221

=====

(11)
Material: Ce2Y3In3
Method: DFT, PBE
State: relaxed

Unit cell a=3.6399 b=5.4285 c=11.6321 alpha=77.58 beta=80.99 gamma=90.00
Last column: magnetic moment on the atom in μB.
Atoms (fractional coordinates):
Ce 0.7582 0.8161 0.4838  0.30
Ce 0.2418 0.1839 0.5162  0.30
Y 0.8782 0.4669 0.2435  0.00
Y 0.1218 0.5331 0.7565  0.00
Y 0.0000 0.0000 0.0000  -0.01
In 0.3797 0.9803 0.2408  0.00
In 0.5000 0.5000 0.0000  0.00
In 0.6203 0.0197 0.7592  0.00

## Properties
total DFT energy (no corrections) = -5.284 eV/atom
N(E_F) = 11.45 states/eV/cell
space group = No. 12

=====

(12)
Material: SmU4P5
Method: DFT, PBE
State: relaxed

Unit cell a=3.9551 b=5.6076 c=10.5434 alpha=105.42 beta=100.81 gamma=90.00
Last column: magnetic moment on the atom in μB.
Atoms (fractional coordinates):
Sm 0.0000 0.0000 0.0000  0.03
U 0.4000 0.4000 0.7999  2.02
U 0.7976 0.7976 0.5952  2.01
U 0.2024 0.2024 0.4048  2.01
U 0.6000 0.6000 0.2001  2.02
P 0.6045 0.1045 0.2090  -0.06
P 0.8013 0.3013 0.6025  -0.08
P 0.1987 0.6987 0.3975  -0.08
P 0.0000 0.5000 0.0000  -0.07
P 0.3955 0.8955 0.7910  -0.06

## Properties
total DFT energy (no corrections) = -8.764 eV/atom
N(E_F) = 22.54 states/eV/cell
space group = No. 71